Here is an optimized crystal structure of CoNi8Pd6 from Alexandria via LeMat-Bulk. Energies are from PBE-GGA.

abc: 7.1338 7.1338 6.1005
angles: 54.22 54.22 60.00
With the nearest neighbours (Å) after each atom.
Atoms (fractional coordinates):
Pd (0.3775, 0.5676, 0.2272)  7 Ni 2.56-2.86, 3 Pd 2.73-2.79
Pd (0.6225, 0.4324, 0.7728)  7 Ni 2.56-2.86, 3 Pd 2.73-2.79
Pd (0.1722, 0.6225, 0.7728)  7 Ni 2.56-2.86, 3 Pd 2.73-2.79
Ni (0.3767, 0.8725, 0.7074)  1 Co 2.25, 2 Ni 2.33-2.47
Ni (0.6233, 0.1275, 0.2926)  1 Co 2.25, 2 Ni 2.33-2.47
Ni (0.9566, 0.6233, 0.2926)  1 Co 2.25, 2 Ni 2.33-2.47
Pd (0.8278, 0.3775, 0.2272)  7 Ni 2.56-2.86, 3 Pd 2.73-2.79
Pd (0.4324, 0.1722, 0.7728)  7 Ni 2.56-2.86, 3 Pd 2.73-2.79
Ni (0.8725, 0.0434, 0.7074)  1 Co 2.25, 2 Ni 2.33-2.47
Pd (0.5676, 0.8278, 0.2272)  7 Ni 2.56-2.86, 3 Pd 2.73-2.79
Ni (0.2343, 0.2343, 0.2971)  6 Ni 2.47-2.60, 3 Pd 2.76
Ni (0.7657, 0.7657, 0.7029)  6 Ni 2.47-2.60, 3 Pd 2.76
Ni (0.0434, 0.3767, 0.7074)  1 Co 2.25, 2 Ni 2.33-2.47
Ni (0.1275, 0.9566, 0.2926)  1 Co 2.25, 2 Ni 2.33-2.47
Co (0.0000, 0.0000, 0.0000)  6 Ni 2.25

Computed properties:
**Fermi-level density of states**: 23.2 states/eV per cell
**Crystal system**: trigonal
**Raw total energy**: -0.2015 Ha/atom

=====

Here is an optimized crystal structure of TaPS2Cl from Alexandria via LeMat-Bulk. Energies are from PBE-GGA.

abc: 4.5658 4.5658 4.4120
angles: 90.00 90.00 90.00
With the nearest neighbours (Å) after each atom.
Atoms (fractional coordinates):
Cl (0.0000, 0.0000, 0.5000)  2 P 2.21
S (0.5000, 0.0000, 0.0000)  2 P 2.28
S (0.0000, 0.5000, 0.0000)  2 P 2.28
Ta (0.5000, 0.5000, 0.5000)  8 S 3.17, 4 Cl 3.23
P (0.0000, 0.0000, 0.0000)  2 Cl 2.21, 4 S 2.28

Computed properties:
**Formation energy without anion corrections**: 0.794 eV/atom
**Fermi-level density of states**: 4.4 states/eV per cell
**Crystal system**: tetragonal
**Raw total energy**: -0.1720 Ha/atom
**Energy above the most stable polymorph in this dataset**: 75.6 kJ/mol of atoms

=====

Here is an optimized crystal structure of Sb2MoPdI from Alexandria via LeMat-Bulk. Energies are from PBE-GGA.

abc: 5.1920 5.1920 5.4751
angles: 90.00 90.00 90.00
With the nearest neighbours (Å) after each atom.
Atoms (fractional coordinates):
Sb (0.5000, 0.0000, 0.0000)  2 Pd 2.60
Sb (0.0000, 0.5000, 0.0000)  2 Pd 2.60
I (0.0000, 0.0000, 0.5000)  2 Pd 2.74
Mo (0.5000, 0.5000, 0.5000)  4 I 3.67, 8 Sb 3.77
Pd (0.0000, 0.0000, 0.0000)  4 Sb 2.60, 2 I 2.74

Computed properties:
**Formation energy without anion corrections**: 0.994 eV/atom
**Fermi-level density of states**: 4.7 states/eV per cell
**Crystal system**: tetragonal
**Raw total energy**: -0.1532 Ha/atom
**Energy above the most stable polymorph in this dataset**: 19.7 kJ/mol of atoms

=====

Here is an optimized crystal structure of PmEr5Tm from Alexandria via LeMat-Bulk. Energies are from PBE-GGA.

abc: 6.1136 7.9728 7.6940
angles: 121.21 113.41 90.00
With the nearest neighbours (Å) after each atom.
Atoms (fractional coordinates):
Tm (0.9365, 0.0000, 0.0000)  2 Er 2.99
Er (0.1703, 0.5000, 0.0000)  2 Pm 2.89-3.22, 2 Er 3.03
Er (0.4338, 0.1788, 0.0000)  2 Er 2.85-3.03, 1 Pm 3.03
Er (0.6733, 0.7437, 0.4875)  1 Tm 2.99, 1 Er 3.25, 1 Pm 3.28
Pm (0.6972, 0.5000, 0.0000)  4 Er 2.89-3.22
Er (0.4338, 0.8212, 0.0000)  2 Er 2.85-3.03, 1 Pm 3.03
Er (0.1858, 0.2563, 0.5125)  1 Tm 2.99, 1 Er 3.25, 1 Pm 3.28

Computed properties:
**Fermi-level density of states**: 10.2 states/eV per cell
**Crystal system**: orthorhombic
**Raw total energy**: -0.1309 Ha/atom
**Energy above the most stable polymorph in this dataset**: 87.3 kJ/mol of atoms

=====

Here is an optimized crystal structure of AlSi2Ru from Alexandria via LeMat-Bulk. Energies are from PBE-GGA.

abc: 3.2456 3.2456 5.1702
angles: 90.00 90.00 90.00
With the nearest neighbours (Å) after each atom.
Atoms (fractional coordinates):
Ru (0.5000, 0.5000, 0.7578)  6 Si 2.51-2.66, 4 Al 2.67
Si (0.0000, 0.0000, 0.0051)  2 Al 2.53-2.64, 4 Si 2.60, 4 Ru 2.63
Al (0.0000, 0.0000, 0.4945)  6 Si 2.53-2.64, 4 Ru 2.67
Si (0.5000, 0.5000, 0.2427)  2 Ru 2.51-2.66, 4 Si 2.60, 4 Al 2.64

Computed properties:
**Formation energy without anion corrections**: -0.156 eV/atom
**Fermi-level density of states**: 2.9 states/eV per cell
**Crystal system**: tetragonal
**Raw total energy**: -0.2250 Ha/atom

=====

Here is an optimized crystal structure of Pr2Sm2DyHo2 from Alexandria via LeMat-Bulk. Energies are from PBE-GGA.

abc: 5.7459 5.7459 8.8564
angles: 71.07 71.07 60.00
With the nearest neighbours (Å) after each atom.
Atoms (fractional coordinates):
Ho (0.4269, 0.4269, 0.7192)  4 Sm 3.49-3.53, 3 Pr 3.50, 1 Ho 3.60
Sm (0.7163, 0.7163, 0.8510)  4 Ho 3.49-3.53, 3 Dy 3.54, 1 Pr 3.58
Dy (0.0000, 0.0000, 0.0000)  2 Pr 3.41, 6 Sm 3.54
Pr (0.8617, 0.8617, 0.4150)  1 Dy 3.41, 3 Ho 3.50, 1 Sm 3.58, 3 Pr 3.60
Sm (0.2837, 0.2837, 0.1490)  4 Ho 3.49-3.53, 3 Dy 3.54, 1 Pr 3.58
Pr (0.1383, 0.1383, 0.5850)  1 Dy 3.41, 3 Ho 3.50, 1 Sm 3.58, 3 Pr 3.60
Ho (0.5731, 0.5731, 0.2808)  4 Sm 3.49-3.53, 3 Pr 3.50, 1 Ho 3.60

Computed properties:
**Fermi-level density of states**: 16.2 states/eV per cell
**Crystal system**: trigonal
**Raw total energy**: -0.1671 Ha/atom

=====

Here is an optimized crystal structure of Pa2NiSn from Alexandria via LeMat-Bulk. Energies are from PBE-GGA.

abc: 3.0889 5.4550 5.4550
angles: 90.00 90.00 90.00
With the nearest neighbours (Å) after each atom.
Atoms (fractional coordinates):
Pa (0.0000, 0.5000, 0.0000)  2 Pa 3.09, 4 Ni 3.13, 4 Sn 3.13
Sn (0.5000, 0.0000, 0.0000)  2 Sn 3.09, 8 Pa 3.13
Ni (0.5000, 0.5000, 0.5000)  2 Ni 3.09, 8 Pa 3.13
Pa (0.0000, 0.0000, 0.5000)  2 Pa 3.09, 4 Sn 3.13, 4 Ni 3.13

Computed properties:
**Fermi-level density of states**: 9.0 states/eV per cell
**Crystal system**: tetragonal
**Raw total energy**: -0.2602 Ha/atom
**Energy above the most stable polymorph in this dataset**: 33.0 kJ/mol of atoms

=====

Here is an optimized crystal structure of NaY2AgI from Alexandria via LeMat-Bulk. Energies are from PBE-GGA.

abc: 5.7431 4.8918 5.7431
angles: 90.00 90.00 90.00
With the nearest neighbours (Å) after each atom.
Atoms (fractional coordinates):
Ag (0.0000, 0.5000, 0.0000)  2 Na 2.45
Y (0.0000, 0.0000, 0.5000)  2 Na 2.87
Y (0.5000, 0.0000, 0.0000)  2 Na 2.87
Na (0.0000, 0.0000, 0.0000)  2 Ag 2.45
I (0.5000, 0.5000, 0.5000)  8 Y 3.77, 4 Ag 4.06

Computed properties:
**Formation energy without anion corrections**: 0.542 eV/atom
**Fermi-level density of states**: 6.6 states/eV per cell
**Crystal system**: tetragonal
**Raw total energy**: -0.1171 Ha/atom

=====

Here is an optimized crystal structure of MgInW2 from Alexandria via LeMat-Bulk. Energies are from PBE-GGA.

abc: 7.5210 7.5210 5.9766
angles: 51.01 51.01 90.00
With the nearest neighbours (Å) after each atom.
Atoms (fractional coordinates):
W (0.3750, 0.3739, 0.7500)  2 W 2.73, 2 In 2.74, 2 Mg 2.75
Mg (0.2500, 0.7500, 0.5000)  2 In 2.73, 4 W 2.75
In (0.7500, 0.2500, 0.5000)  2 Mg 2.73, 4 W 2.74
W (0.8750, 0.8761, 0.7500)  2 W 2.73, 2 In 2.74, 2 Mg 2.75
In (0.0000, 0.0000, 0.0000)  2 Mg 2.73, 4 W 2.74
W (0.6261, 0.1250, 0.2500)  2 W 2.73, 2 In 2.74, 2 Mg 2.75
Mg (0.5000, 0.5000, 0.0000)  2 In 2.73, 4 W 2.75
W (0.1239, 0.6250, 0.2500)  2 W 2.73, 2 In 2.74, 2 Mg 2.75

Computed properties:
**Fermi-level density of states**: 7.6 states/eV per cell
**Crystal system**: tetragonal
**Raw total energy**: -0.2312 Ha/atom
**Energy above the most stable polymorph in this dataset**: 93.5 kJ/mol of atoms

=====

Here is an optimized crystal structure of LaMgCuS3 from Alexandria via LeMat-Bulk. Energies are from PBE-GGA.

abc: 3.8629 7.7526 8.4072
angles: 103.68 90.00 90.00
With the nearest neighbours (Å) after each atom.
Atoms (fractional coordinates):
S (0.2500, 0.7663, 0.4801)  3 Cu 2.38-2.43
S (0.2500, 0.5661, 0.8416)  3 Mg 2.55-2.62
La (0.7500, 0.8085, 0.7588)  7 S 2.89-3.07, 1 Cu 3.20
S (0.7500, 0.4339, 0.1584)  3 Mg 2.55-2.62
S (0.2500, 0.1013, 0.8654)  1 Cu 2.32
S (0.7500, 0.2337, 0.5199)  3 Cu 2.38-2.43
S (0.7500, 0.8987, 0.1346)  1 Cu 2.32
Mg (0.2500, 0.6615, 0.1535)  6 S 2.55-2.70
Mg (0.7500, 0.3385, 0.8465)  6 S 2.55-2.70
Cu (0.2500, 0.0862, 0.5869)  4 S 2.32-2.43, 2 Cu 2.59
La (0.2500, 0.1915, 0.2412)  7 S 2.89-3.07, 1 Cu 3.20
Cu (0.7500, 0.9138, 0.4131)  4 S 2.32-2.43, 2 Cu 2.59

Computed properties:
**Formation energy without anion corrections**: -1.435 eV/atom
**Crystal system**: monoclinic
**Raw total energy**: -0.1936 Ha/atom

=====

Here is an optimized crystal structure of CoTcRh5 from Alexandria via LeMat-Bulk. Energies are from PBE-GGA.

abc: 5.2369 5.2369 9.1157
angles: 82.57 82.57 56.46
With the nearest neighbours (Å) after each atom.
Atoms (fractional coordinates):
Co (0.0000, 0.0000, 0.0000)  6 Rh 2.51-2.61, 2 Tc 2.70
Rh (0.2810, 0.1834, 0.8148)  1 Co 2.54, 6 Rh 2.54-2.74, 2 Tc 2.60-2.77
Tc (0.7082, 0.2918, 0.2500)  4 Rh 2.45-2.60, 2 Co 2.70
Rh (0.7190, 0.8166, 0.1852)  1 Co 2.54, 6 Rh 2.54-2.74, 2 Tc 2.60-2.77
Co (0.0000, 0.0000, 0.5000)  6 Rh 2.51-2.61, 2 Tc 2.70
Tc (0.2918, 0.7082, 0.7500)  4 Rh 2.45-2.60, 2 Co 2.70
Rh (0.5972, 0.6831, 0.4614)  4 Rh 2.54-2.75, 1 Co 2.61, 1 Tc 2.77
Rh (0.2146, 0.7854, 0.2500)  2 Tc 2.45-2.51, 2 Co 2.51, 4 Rh 2.65-2.72
Rh (0.3169, 0.4028, 0.0386)  4 Rh 2.54-2.75, 1 Co 2.61, 1 Tc 2.77
Rh (0.7854, 0.2146, 0.7500)  2 Tc 2.45-2.51, 2 Co 2.51, 4 Rh 2.65-2.72
Rh (0.8166, 0.7190, 0.6852)  1 Co 2.54, 6 Rh 2.54-2.74, 2 Tc 2.60-2.77
Rh (0.4028, 0.3169, 0.5386)  4 Rh 2.54-2.75, 1 Co 2.61, 1 Tc 2.77
Rh (0.1834, 0.2810, 0.3147)  1 Co 2.54, 6 Rh 2.54-2.74, 2 Tc 2.60-2.77
Rh (0.6831, 0.5972, 0.9614)  4 Rh 2.54-2.75, 1 Co 2.61, 1 Tc 2.77

Computed properties:
**Fermi-level density of states**: 24.6 states/eV per cell
**Crystal system**: monoclinic
**Raw total energy**: -0.2738 Ha/atom

=====

Here is an optimized crystal structure of Mg2AsPb from Alexandria via LeMat-Bulk. Energies are from PBE-GGA.

abc: 5.0604 5.0604 5.0604
angles: 60.00 60.00 60.00
With the nearest neighbours (Å) after each atom.
Atoms (fractional coordinates):
Pb (0.5000, 0.5000, 0.5000)  8 Mg 3.10
Mg (0.7500, 0.7500, 0.7500)  4 Pb 3.10, 4 As 3.10
As (0.0000, 0.0000, 0.0000)  8 Mg 3.10
Mg (0.2500, 0.2500, 0.2500)  4 Pb 3.10, 4 As 3.10

Computed properties:
**Fermi-level density of states**: 2.1 states/eV per cell
**Crystal system**: cubic
**Raw total energy**: -0.1079 Ha/atom
**Energy above the most stable polymorph in this dataset**: 16.7 kJ/mol of atoms